{
  "formula": "CrCd3C",
  "functional": "PBE-GGA",
  "state": "relaxed",
  "polymorph_energy_mev_per_atom": 0.0,
  "delta_e_f_ev_per_atom": 1.069,
  "cell": [[4.640, 0.000, 0.000], [0.000, 4.640, 0.000], [0.000, 0.000, 4.640]],
  "species": ["Cr", "Cd", "Cd", "Cd", "C"],
  "fractional_positions": [[0.000, 0.000, 0.000], [0.000, 0.500, 0.500], [0.500, 0.000, 0.500], [0.500, 0.500, 0.000], [0.500, 0.500, 0.500]]
}

=====

{
  "formula": "CaAc3Cd",
  "functional": "PBE-GGA",
  "state": "relaxed",
  "delta_e_f_ev_per_atom": -0.016,
  "cell": [[6.256, -4.042, 0.000], [6.256, 4.042, 0.000], [-3.120, 0.000, 8.156]],
  "species": ["Ca", "Ca", "Ac", "Ac", "Ac", "Ac", "Ac", "Ac", "Cd", "Cd"],
  "fractional_positions": [[0.057, 0.057, 0.223], [0.943, 0.943, 0.777], [0.082, 0.592, 0.353], [0.408, 0.918, 0.647], [0.448, 0.448, 0.771], [0.552, 0.552, 0.229], [0.592, 0.082, 0.353], [0.918, 0.408, 0.647], [0.243, 0.243, 0.003], [0.757, 0.757, 0.997]]
}